# LaCe4Mg | Alexandria via LeMat-Bulk | PBE | optimized geometry
data_LaCe4Mg
_symmetry_space_group_name_H-M 'F -4 3 m'
_symmetry_Int_Tables_number 216
_symmetry_space_group_name_Hall 'F -4 2 3'
_cell_length_a 8.9280
_cell_length_b 8.9280
_cell_length_c 8.9280
_cell_angle_alpha 90.00
_cell_angle_beta 90.00
_cell_angle_gamma 90.00
loop_
_atom_site_label
_atom_site_fract_x
_atom_site_fract_y
_atom_site_fract_z
La1 0.0000 0.0000 0.0000
Ce1 0.1125 0.1125 0.6125
Mg1 0.2500 0.2500 0.2500
# - Crystal system: cubic
# - Calculated formation energy: 0.21 eV/atom
# - Density: 6.75 g/cm³